No. 1
This record from Alexandria via LeMat-Bulk describes a geometry-optimized Dy2Er3TmBi6 structure. The functional is PBE.

Cell: 9.9491 9.9491 8.9022 Å, 102.86 102.86 25.84°
Closest atoms and distances in Å follow each position.
Fractional positions:
Dy  0.1664  0.1664  0.3329  6 Bi 3.16
Dy  0.8336  0.8336  0.6671  6 Bi 3.16
Er  0.1672  0.1672  0.8333  6 Bi 3.14-3.15
Er  0.5000  0.5000  0.5000  6 Bi 3.14-3.15
Er  0.8328  0.8328  0.1667  6 Bi 3.14-3.15
Tm  0.5000  0.5000  0.0000  6 Bi 3.14
Bi  0.0008  0.0008  0.7512  2 Tm 3.14, 3 Er 3.14-3.15, 1 Dy 3.16
Bi  0.3338  0.3338  0.4157  3 Er 3.14, 3 Dy 3.16
Bi  0.3338  0.3338  0.9187  1 Tm 3.14, 3 Er 3.14-3.15, 2 Dy 3.16
Bi  0.6662  0.6662  0.0813  1 Tm 3.14, 3 Er 3.14-3.15, 2 Dy 3.16
Bi  0.6662  0.6662  0.5843  3 Er 3.14, 3 Dy 3.16
Bi  0.9992  0.9992  0.2488  2 Tm 3.14, 3 Er 3.14-3.15, 1 Dy 3.16

Calculated values
Crystal system = monoclinic
DFT formation energy = -0.823 eV/atom
M_tot = 0.00 Bohr magnetons per cell
DOS at the Fermi energy = 1.99 states/eV/f.u.
VASP energy = -5.04 eV/atom

No. 2
This record from Alexandria via LeMat-Bulk describes a geometry-optimized NdLuO structure. The functional is PBE.

Cell: 3.5095 3.5095 6.0014 Å, 90.00 90.00 120.00°
Closest atoms and distances in Å follow each position.
Fractional positions:
Nd  0.0000  0.0000  0.0000  3 O 2.68
Lu  0.3333  0.6667  0.4679  3 O 2.28
O  0.6667  0.3333  0.2933  3 Lu 2.28

Calculated values
Crystal system = trigonal
Formation energy without anion corrections = -170.2 kJ per mole of atoms
M_tot = 0.07 Bohr magnetons per cell
DOS at the Fermi energy = 1.69 states/eV/f.u.
VASP energy = -6.51 eV/atom

No. 3
This record from Alexandria via LeMat-Bulk describes a geometry-optimized TcAg2Ir structure. The functional is PBE.

Cell: 5.5801 5.5801 5.5801 Å, 150.72 128.41 60.43°
Closest atoms and distances in Å follow each position.
Fractional positions:
Tc  0.0000  0.0000  0.0000  2 Ir 2.50
Ag  0.2644  0.7644  0.5000  4 Ir 2.82, 4 Ag 2.82-2.92, 2 Tc 2.91
Ag  0.5293  0.5293  0.0000  4 Ag 2.82-2.92, 4 Tc 2.82, 2 Ir 2.85
Ir  0.7855  0.2855  0.5000  2 Tc 2.50

Calculated values
Crystal system = orthorhombic
DFT formation energy = 0.537 eV/atom
M_tot = 0.16 Bohr magnetons per cell
DOS at the Fermi energy = 3.79 states/eV/f.u.
VASP energy = -5.70 eV/atom

No. 4
This record from Alexandria via LeMat-Bulk describes a geometry-optimized PaIn5Pt structure. The functional is PBE.

Cell: 4.7304 4.7304 7.4319 Å, 90.00 90.00 90.00°
Closest atoms and distances in Å follow each position.
Fractional positions:
Pa  0.0000  0.0000  0.0000  12 In 3.23-3.34
In  0.0000  0.5000  0.2955  2 Pt 2.81, 1 In 3.04
In  0.0000  0.5000  0.7045  2 Pt 2.81, 1 In 3.04
In  0.5000  0.0000  0.2955  2 Pt 2.81, 1 In 3.04
In  0.5000  0.0000  0.7045  2 Pt 2.81, 1 In 3.04
In  0.5000  0.5000  0.0000  8 In 3.23, 4 Pa 3.34
Pt  0.0000  0.0000  0.5000  8 In 2.81

Calculated values
Crystal system = tetragonal
DFT formation energy = -0.304 eV/atom
M_tot = 0.00 Bohr magnetons per cell
DOS at the Fermi energy = 4.77 states/eV/f.u.
VASP energy = -4.48 eV/atom

No. 5
This record from Alexandria via LeMat-Bulk describes a geometry-optimized ZrP2Ru structure. The functional is PBE.

Cell: 5.9406 5.9406 5.9406 Å, 146.63 146.41 48.08°
Closest atoms and distances in Å follow each position.
Fractional positions:
Zr  0.0000  0.0000  0.0000  6 P 2.62-2.63
P  0.1849  0.6849  0.5000  4 Ru 2.53, 2 Zr 2.63
P  0.4064  0.4064  0.0000  2 Ru 2.39, 4 Zr 2.62
Ru  0.7536  0.2536  0.5000  6 P 2.39-2.53

Calculated values
Crystal system = orthorhombic
DFT formation energy = -0.822 eV/atom
M_tot = 0.00 Bohr magnetons per cell
DOS at the Fermi energy = 0.77 states/eV/f.u.
VASP energy = -7.98 eV/atom

No. 6
This record from Alexandria via LeMat-Bulk describes a geometry-optimized Ac5La2PmDy structure. The functional is PBE.

Cell: 11.9208 11.9208 11.9208 Å, 138.14 138.14 60.69°
Closest atoms and distances in Å follow each position.
Fractional positions:
Ac  0.0000  0.0000  0.0000  4 La 3.39
Ac  0.0897  0.5897  0.9586  1 La 3.39, 1 Dy 3.58, 2 Pm 3.78
Ac  0.1311  0.0897  0.5000  1 La 3.39, 1 Dy 3.58, 2 Pm 3.78
Ac  0.3689  0.8689  0.9586  1 La 3.39, 1 Dy 3.58, 2 Pm 3.78
Ac  0.4103  0.3689  0.5000  1 La 3.39, 1 Dy 3.58, 2 Pm 3.78
Ac  0.5000  0.5000  0.0000  4 La 3.39
Ac  0.5897  0.6311  0.5000  1 La 3.39, 1 Dy 3.58, 2 Pm 3.78
Ac  0.6311  0.1311  0.0414  1 La 3.39, 1 Dy 3.58, 2 Pm 3.78
Ac  0.8689  0.9103  0.5000  1 La 3.39, 1 Dy 3.58, 2 Pm 3.78
Ac  0.9103  0.4103  0.0414  1 La 3.39, 1 Dy 3.58, 2 Pm 3.78
La  0.1212  0.3788  0.5000  1 La 2.92
La  0.3788  0.8788  0.2577  1 La 2.92
La  0.6212  0.1212  0.7423  1 La 2.92
La  0.8788  0.6212  0.5000  1 La 2.92
Pm  0.2500  0.2500  0.0000  8 Ac 3.78
Pm  0.7500  0.7500  0.0000  8 Ac 3.78
Dy  0.2500  0.7500  0.5000  8 Ac 3.58-3.97
Dy  0.7500  0.2500  0.5000  8 Ac 3.58-3.97

Calculated values
Crystal system = tetragonal
DFT formation energy = 0.261 eV/atom
M_tot = 0.00 Bohr magnetons per cell
DOS at the Fermi energy = 14.28 states/eV/f.u.
VASP energy = -4.16 eV/atom

- What is the formula in the second record?
  NdLuO

- What is the formula in the first record?
  Dy2Er3TmBi6

Copy entry 2 word for word.
This record from Alexandria via LeMat-Bulk describes a geometry-optimized NdLuO structure. The functional is PBE.

Cell: 3.5095 3.5095 6.0014 Å, 90.00 90.00 120.00°
Closest atoms and distances in Å follow each position.
Fractional positions:
Nd  0.0000  0.0000  0.0000  3 O 2.68
Lu  0.3333  0.6667  0.4679  3 O 2.28
O  0.6667  0.3333  0.2933  3 Lu 2.28

Calculated values
Crystal system = trigonal
Formation energy without anion corrections = -170.2 kJ per mole of atoms
M_tot = 0.07 Bohr magnetons per cell
DOS at the Fermi energy = 1.69 states/eV/f.u.
VASP energy = -6.51 eV/atom

- VASP energy of number 3 (TcAg2Ir)?
  -5.70 eV/atom